TlAg4Br5, relaxed, DFT GGA-PBE; formation energy (no corrections) = -408 meV per atom; space group = I4 (79)
1.0
-4.559 4.559 3.454
4.559 -4.559 3.454
4.559 4.559 -3.454
Tl Ag Br
1 4 5
Direct
0.000 0.000 0.000
0.230 0.641 0.813
0.417 0.230 0.589
0.641 0.828 0.411
0.828 0.417 0.187
0.006 0.799 0.551
0.248 0.455 0.449
0.455 0.006 0.207
0.517 0.517 0.000
0.799 0.248 0.793

=====

PrMg2Rh, relaxed, DFT GGA-PBE; formation enthalpy at 0 K = -0.2945 eV/atom; space group = P4/mmm (123)
1.0
3.276 0.000 0.000
0.000 3.276 0.000
0.000 0.000 8.089
Pr Mg Rh
1 2 1
Direct
0.000 0.000 0.000
0.500 0.500 0.323
0.500 0.500 0.677
0.000 0.000 0.500

=====

La2Y2Hg, relaxed, DFT GGA-PBE; polymorph energy (0 for the lowest one) = 268 meV per atom; formation enthalpy at 0 K = 0.0758 eV/atom; space group = P4/mbm (127)
1.0
8.008 0.000 0.000
0.000 8.008 0.000
0.000 0.000 5.300
La Y Hg
4 4 2
Direct
0.133 0.367 0.000
0.367 0.867 0.000
0.633 0.133 0.000
0.867 0.633 0.000
0.162 0.662 0.500
0.338 0.162 0.500
0.662 0.838 0.500
0.838 0.338 0.500
0.000 0.000 0.000
0.500 0.500 0.000

=====

FeSiGe3, relaxed, DFT GGA-PBE; polymorph energy (0 for the lowest one) = 562 meV per atom; formation energy (no corrections) = 1045 meV per atom; space group = Pm-3m (221)
1.0
4.866 0.000 0.000
0.000 4.866 0.000
0.000 0.000 4.866
Fe Si Ge
1 1 3
Direct
0.000 0.000 0.000
0.500 0.500 0.500
0.000 0.500 0.500
0.500 0.000 0.500
0.500 0.500 0.000

=====

Ce2RuRh, relaxed, DFT GGA-PBE; formation enthalpy at 0 K = -0.5754 eV/atom; space group = P2_1/m (11)
1.0
5.282 0.000 0.000
0.000 4.706 0.000
-2.533 0.000 6.936
Ce Ru Rh
4 2 2
Direct
0.216 0.250 0.434
0.265 0.750 0.067
0.735 0.250 0.933
0.784 0.750 0.566
0.469 0.750 0.727
0.531 0.250 0.273
0.163 0.250 0.814
0.837 0.750 0.186

=====

HfZrCoP2, relaxed, DFT GGA-PBE; formation enthalpy at 0 K = 0.5919 eV/atom; space group = P4/mmm (123)
1.0
4.854 0.000 0.000
0.000 4.854 0.000
0.000 0.000 4.397
Hf Zr Co P
1 1 1 2
Direct
0.000 0.000 0.000
0.500 0.500 0.500
0.500 0.500 0.000
0.000 0.500 0.500
0.500 0.000 0.500

=====

no.,energy (eV per atom)
1,-2.62
2,-4.12
3,-4.54
4,-4.50
5,-7.70
6,-6.69